[1]
! GGA-PBE LaMgGaSb2, optimized geometry; values from VASP
! formation energy (no corrections)	116.3	meV/atom
&SYSTEM
  ibrav = 0, nat = 5, ntyp = 4
/
ATOMIC_SPECIES
Sb 121.76 Sb.upf
Ga 69.72 Ga.upf
Mg 24.30 Mg.upf
La 138.91 La.upf
CELL_PARAMETERS angstrom
-0.983 -2.634 4.700
5.554 -1.272 0.448
0.839 4.644 2.779
ATOMIC_POSITIONS crystal
Sb 0.000 0.000 0.500
Sb 0.500 0.000 0.000
Ga 0.000 0.000 0.000
Mg 0.500 0.500 0.500
La 0.000 0.500 0.000

=====

[2]
! GGA-PBE LaMgScGa, optimized geometry; values from VASP
! ΔE_f	-313	meV per atom
&SYSTEM
  ibrav = 0, nat = 4, ntyp = 4
/
ATOMIC_SPECIES
Sc 44.96 Sc.upf
La 138.91 La.upf
Ga 69.72 Ga.upf
Mg 24.30 Mg.upf
CELL_PARAMETERS angstrom
-4.137 -2.329 -2.047
-2.402 -3.763 2.608
-4.692 0.834 2.005
ATOMIC_POSITIONS crystal
Sc 0.500 0.500 0.500
La 0.000 0.000 0.000
Ga 0.250 0.250 0.250
Mg 0.750 0.750 0.750

=====

[3]
! GGA-PBE La2MgGaSe5, optimized geometry; values from VASP
! formation energy (no corrections)	-1458.0	meV/atom
&SYSTEM
  ibrav = 0, nat = 18, ntyp = 4
/
ATOMIC_SPECIES
Se 78.96 Se.upf
Mg 24.30 Mg.upf
La 138.91 La.upf
Ga 69.72 Ga.upf
CELL_PARAMETERS angstrom
4.244 0.000 0.000
-2.122 8.823 0.000
0.000 0.000 12.075
ATOMIC_POSITIONS crystal
Se 0.688 0.375 0.860
Se 0.711 0.421 0.166
Se 0.312 0.625 0.360
Se 0.497 0.995 0.774
Se 0.357 0.715 0.000
Se 0.503 0.005 0.274
Se 0.643 0.285 0.500
Se 0.289 0.579 0.666
Se 0.048 0.096 0.059
Se 0.952 0.904 0.559
Mg 0.207 0.414 0.016
Mg 0.793 0.586 0.516
La 0.883 0.766 0.183
La 0.131 0.263 0.309
La 0.869 0.737 0.809
La 0.117 0.234 0.683
Ga 0.558 0.116 0.957
Ga 0.442 0.884 0.457

=====

[4]
! GGA-PBE LaMgGa2Se, optimized geometry; values from VASP
! formation energy (no corrections)	233.4	meV/atom
&SYSTEM
  ibrav = 0, nat = 5, ntyp = 4
/
ATOMIC_SPECIES
Ga 69.72 Ga.upf
Mg 24.30 Mg.upf
La 138.91 La.upf
Se 78.96 Se.upf
CELL_PARAMETERS angstrom
6.045 0.000 0.000
0.000 5.603 0.000
0.000 0.000 6.045
ATOMIC_POSITIONS crystal
Ga 0.000 0.000 0.500
Ga 0.500 0.000 0.000
Mg 0.500 0.500 0.500
La 0.000 0.000 0.000
Se 0.000 0.500 0.000

=====

[5]
! GGA-PBE LaMgGa2Tc, optimized geometry; values from VASP
! ΔE_f	-227	meV per atom
&SYSTEM
  ibrav = 0, nat = 5, ntyp = 4
/
ATOMIC_SPECIES
Mg 24.30 Mg.upf
Tc 98.00 Tc.upf
La 138.91 La.upf
Ga 69.72 Ga.upf
CELL_PARAMETERS angstrom
4.844 0.000 0.000
0.000 4.844 0.000
0.000 0.000 4.934
ATOMIC_POSITIONS crystal
Mg 0.000 0.000 0.500
Tc 0.000 0.000 0.000
La 0.500 0.500 0.500
Ga 0.000 0.500 0.000
Ga 0.500 0.000 0.000

=====

[6]
! GGA-PBE La2MgGaTe, optimized geometry; values from VASP
! formation energy (no corrections)	255.9	meV/atom
&SYSTEM
  ibrav = 0, nat = 5, ntyp = 4
/
ATOMIC_SPECIES
Ga 69.72 Ga.upf
La 138.91 La.upf
Te 127.60 Te.upf
Mg 24.30 Mg.upf
CELL_PARAMETERS angstrom
5.832 0.000 0.000
0.000 5.177 0.000
0.000 0.000 5.832
ATOMIC_POSITIONS crystal
Ga 0.500 0.500 0.500
La 0.000 0.000 0.500
La 0.500 0.000 0.000
Te 0.000 0.500 0.000
Mg 0.000 0.000 0.000

=====

Table of total energy (eV per atom), in record order: -3.4424, -4.2836, -5.0024, -2.9786, -4.8158, -3.2677